# MgCd2W

An optimized crystal structure of MgCd2W (GGA-PBE, Alexandria).

Summary:
raw total energy	-14.42	eV for the cell shown
symmetry	C2/m

Cell lengths 5.2531, 5.2531, 5.3773 Å; angles 99.45, 99.45, 31.72 degrees
Fractional positions:
Mg: 0.0000 0.0000 0.0000
Cd: 0.2490 0.2490 0.7396
Cd: 0.7510 0.7510 0.2604
W: 0.5000 0.5000 0.5000



# MgCd3W

An optimized crystal structure of MgCd3W (GGA-PBE, Alexandria).

Summary:
raw total energy	-11.50	eV for the cell shown
excess energy over the best structure of this formula in the dataset	0.000	eV/atom
symmetry	Pm-3m

Cell lengths 5.2878, 5.2878, 5.2878 Å; angles 90.00, 90.00, 90.00 degrees
Fractional positions:
Mg: 0.0000 0.0000 0.0000
Cd: 0.0000 0.5000 0.5000
Cd: 0.5000 0.0000 0.5000
Cd: 0.5000 0.5000 0.0000
W: 0.5000 0.5000 0.5000



# MgCd2W

An optimized crystal structure of MgCd2W (GGA-PBE, Alexandria).

Summary:
raw total energy	-14.84	eV for the cell shown
symmetry	P4/mmm

Cell lengths 2.8796, 2.8796, 9.1937 Å; angles 90.00, 90.00, 90.00 degrees
Fractional positions:
Mg: 0.0000 0.0000 0.0000
Cd: 0.5000 0.5000 0.2571
Cd: 0.5000 0.5000 0.7429
W: 0.0000 0.0000 0.5000



# MgCd2W

An optimized crystal structure of MgCd2W (GGA-PBE, Alexandria).

Summary:
raw total energy	-14.76	eV for the cell shown
symmetry	R-3m

Cell lengths 10.1057, 10.1057, 10.1057 Å; angles 17.01, 17.01, 17.01 degrees
Fractional positions:
Mg: 0.0000 0.0000 0.0000
Cd: 0.2476 0.2476 0.2476
Cd: 0.7524 0.7524 0.7524
W: 0.5000 0.5000 0.5000